Entry from the Alexandria database: a relaxed structure of CaTl2Ni (GGA-PBE).

Summary:
The formation enthalpy at 0 K is -0.001 eV per atom. The calculation puts the density at 8.445 g/cm3. Its total energy is -3.13 eV/atom. Its size of the total moment is 0.0 Bohr magnetons per cell.

a b c (Å): 4.330 3.979 6.071
angles (deg): 72.58 90.00 90.00
Element x y z (fractional)
Ni 0.500 0.750 0.750
Tl 0.000 0.903 0.964
Tl 0.000 0.597 0.536
Ca 0.500 0.250 0.250